Entry 1:
The following is a SCAN calculation of a PBEsol-optimized structure of LaTlPd3, from the Alexandria database.

a b c (Å): 4.968 4.968 4.968
angles (deg): 90.00 90.00 90.00
Element x y z (fractional)
Tl 0.000 0.000 0.000
Pd 0.000 0.500 0.000
Pd 0.000 0.000 0.500
Pd 0.500 0.000 0.000
La 0.500 0.500 0.500

Computed properties:
The value obtained for the energy relative to the elements is 0.012 eV/atom. The volume is 24.5 A^3/atom. As for the total energy: -213.73 eV for the cell shown. Its space group is No. 221. The calculation puts the mass density at 8.97 g cm⁻³.


Entry 2:
The following is a SCAN calculation of a PBEsol-optimized structure of LaTlPd, from the Alexandria database.

a b c (Å): 3.994 7.839 7.839
angles (deg): 120.00 90.00 90.00
Element x y z (fractional)
La 0.500 0.408 0.408
La 0.500 0.592 0.000
La 0.500 0.000 0.592
Tl 0.000 0.743 0.743
Tl 0.000 0.257 0.000
Tl 0.000 0.000 0.257
Pd 0.000 0.667 0.333
Pd 0.000 0.333 0.667
Pd 0.500 0.000 0.000

Computed properties:
The value obtained for the energy relative to the elements is -0.812 eV/atom. The volume is 23.6 A^3/atom. As for the total energy: -452.02 eV for the cell shown. Its space group is No. 189. The calculation puts the mass density at 10.54 g cm⁻³.


Entry 3:
The following is a SCAN calculation of a PBEsol-optimized structure of LaPdW3, from the Alexandria database.

a b c (Å): 4.696 4.696 4.696
angles (deg): 90.00 90.00 90.00
Element x y z (fractional)
Pd 0.500 0.500 0.500
W 0.000 0.500 0.000
W 0.000 0.000 0.500
W 0.500 0.000 0.000
La 0.000 0.000 0.000

Computed properties:
The value obtained for the energy relative to the elements is 3.100 eV/atom. The volume is 20.7 A^3/atom. As for the total energy: -269.44 eV for the cell shown. Its space group is No. 221. The calculation puts the mass density at 12.78 g cm⁻³.


Entry 4:
The following is a SCAN calculation of a PBEsol-optimized structure of La2PdW, from the Alexandria database.

a b c (Å): 5.052 5.052 5.052
angles (deg): 60.00 60.00 60.00
Element x y z (fractional)
Pd 0.000 0.000 0.000
W 0.500 0.500 0.500
La 0.250 0.250 0.250
La 0.750 0.750 0.750

Computed properties:
The value obtained for the energy relative to the elements is 0.294 eV/atom. The volume is 22.8 A^3/atom. As for the total energy: -187.50 eV for the cell shown. Its space group is No. 225. The calculation puts the mass density at 10.34 g cm⁻³.


Entry 5:
The following is a SCAN calculation of a PBEsol-optimized structure of LaY2Pd2, from the Alexandria database.

a b c (Å): 3.910 7.811 7.811
angles (deg): 90.00 90.00 90.00
Element x y z (fractional)
Y 0.500 0.162 0.662
Y 0.500 0.662 0.838
Y 0.500 0.838 0.338
Y 0.500 0.338 0.162
Pd 0.000 0.371 0.871
Pd 0.000 0.871 0.629
Pd 0.000 0.629 0.129
Pd 0.000 0.129 0.371
La 0.000 0.000 0.000
La 0.000 0.500 0.500

Computed properties:
The value obtained for the energy relative to the elements is -0.745 eV/atom. The volume is 23.9 A^3/atom. As for the total energy: -336.13 eV for the cell shown. Its space group is No. 127. The calculation puts the mass density at 7.37 g cm⁻³.


Entry 6:
The following is a SCAN calculation of a PBEsol-optimized structure of LaY3Pd, from the Alexandria database.

a b c (Å): 5.376 5.376 5.376
angles (deg): 90.00 90.00 90.00
Element x y z (fractional)
Y 0.000 0.500 0.000
Y 0.000 0.000 0.500
Y 0.500 0.000 0.000
Pd 0.500 0.500 0.500
La 0.000 0.000 0.000

Computed properties:
The value obtained for the energy relative to the elements is 0.967 eV/atom. The volume is 31.1 A^3/atom. As for the total energy: -154.57 eV for the cell shown. Its space group is No. 221. The calculation puts the mass density at 5.47 g cm⁻³.


Which of these has the highest energy relative to the elements? LaPdW3